[1]
Crystalline DyCuAg4 at its relaxed geometry, computed with GGA-PBE.

## Properties
size of the total moment: 0.001 μB/atom
formation enthalpy at 0 K: -0.31 eV/f.u.

Unit cell a=5.503 b=5.503 c=5.503 alpha=60.00 beta=60.00 gamma=60.00
Element x y z (fractional)
Dy  0.000  0.000  0.000
Cu  0.250  0.250  0.250
Ag  0.126  0.625  0.625
Ag  0.625  0.126  0.625
Ag  0.625  0.625  0.126
Ag  0.625  0.625  0.625

***

[2]
Crystalline Dy2ErIn3CuAg2 at its relaxed geometry, computed with GGA-PBE.

## Properties
size of the total moment: 0.000 μB/atom
VASP energy: -35.2 eV for the cell shown

Unit cell a=3.862 b=7.781 c=7.781 alpha=119.93 beta=90.00 gamma=90.00
Element x y z (fractional)
Dy  0.000  0.201  0.799
Dy  0.000  0.799  0.201
Er  0.000  0.399  0.399
In  0.500  0.051  0.051
In  0.500  0.547  0.799
In  0.500  0.799  0.547
Cu  0.000  0.799  0.799
Ag  0.500  0.134  0.465
Ag  0.500  0.465  0.134

***

[3]
Crystalline DyEr2Tl3CuAg2 at its relaxed geometry, computed with GGA-PBE.

## Properties
size of the total moment: 0.001 μB/atom
VASP energy: -32.8 eV for the cell shown

Unit cell a=3.838 b=7.894 c=7.894 alpha=120.10 beta=90.00 gamma=90.00
Element x y z (fractional)
Dy  0.000  0.000  0.000
Er  0.000  0.208  0.604
Er  0.000  0.604  0.208
Tl  0.500  0.344  0.344
Tl  0.500  0.604  0.862
Tl  0.500  0.862  0.604
Cu  0.000  0.603  0.603
Ag  0.500  0.272  0.936
Ag  0.500  0.936  0.272

***

[4]
Crystalline Dy2HoGa3CuAg2 at its relaxed geometry, computed with GGA-PBE.

## Properties
size of the total moment: 0.000 μB/atom
VASP energy: -36.4 eV for the cell shown

Unit cell a=3.781 b=7.479 c=7.479 alpha=119.93 beta=90.00 gamma=90.00
Element x y z (fractional)
Dy  0.000  0.198  0.802
Dy  0.000  0.802  0.198
Ho  0.000  0.406  0.406
Ga  0.500  0.048  0.048
Ga  0.500  0.555  0.801
Ga  0.500  0.801  0.555
Cu  0.000  0.801  0.801
Ag  0.500  0.136  0.468
Ag  0.500  0.468  0.136

***

Please write out number 2 again, unchanged.
Crystalline Dy2ErIn3CuAg2 at its relaxed geometry, computed with GGA-PBE.

## Properties
size of the total moment: 0.000 μB/atom
VASP energy: -35.2 eV for the cell shown

Unit cell a=3.862 b=7.781 c=7.781 alpha=119.93 beta=90.00 gamma=90.00
Element x y z (fractional)
Dy  0.000  0.201  0.799
Dy  0.000  0.799  0.201
Er  0.000  0.399  0.399
In  0.500  0.051  0.051
In  0.500  0.547  0.799
In  0.500  0.799  0.547
Cu  0.000  0.799  0.799
Ag  0.500  0.134  0.465
Ag  0.500  0.465  0.134